Computed, not measured: an optimized crystal structure of Mo3RuC at the GGA-PBE level of DFT. Values from VASP.

Values from the calculation:
Energy above the most stable polymorph in this dataset = 2731 meV/atom
DOS(E_F) = 1.2210 states/eV/atom
Calculated formation energy = 2861 meV per atom

Geometry as Quantum ESPRESSO input:
```
&SYSTEM
  ibrav = 0, nat = 5, ntyp = 3
/
ATOMIC_SPECIES
Mo 95.94 Mo.upf
Ru 101.07 Ru.upf
C 12.01 C.upf
CELL_PARAMETERS angstrom
4.6634 0.0000 0.0000
0.0000 4.6634 0.0000
0.0000 0.0000 4.6634
ATOMIC_POSITIONS crystal
Mo 0.0000 0.0000 0.5000
Mo 0.0000 0.5000 0.0000
Mo 0.5000 0.0000 0.0000
Ru 0.0000 0.0000 0.0000
C 0.5000 0.5000 0.5000
```